ReHgOs | PBE | relaxed

a b c (Å): 2.8440 2.8440 7.1754
angles (deg): 90.00 90.00 120.00
With the nearest neighbours (Å) after each atom.
Positions (direct):
Re (0.0000, 0.0000, 0.0000)  3 Os 2.60, 6 Re 2.84
Hg (0.6667, 0.3333, 0.3603)  6 Hg 2.84, 3 Os 3.05, 3 Re 3.06
Os (0.3333, 0.6667, 0.7190)  3 Re 2.60, 6 Os 2.84

Output
Calculated density: 19.064 g cm⁻³
Energy of formation: 0.4481 eV/atom

BaCuH6Rh | PBE | relaxed

a b c (Å): 4.8688 4.8688 5.0939
angles (deg): 90.00 90.00 120.00
With the nearest neighbours (Å) after each atom.
Positions (direct):
Ba (0.0000, 0.0000, 0.0000)  6 H 2.56
Cu (0.3333, 0.6667, 0.5000)  6 H 1.81
H (0.4206, 0.0170, 0.6866)  1 Rh 1.69, 1 Cu 1.81
H (0.4206, 0.4036, 0.3134)  1 Rh 1.69, 1 Cu 1.81
H (0.5964, 0.0170, 0.3134)  1 Rh 1.69, 1 Cu 1.81
H (0.5964, 0.5794, 0.6866)  1 Rh 1.69, 1 Cu 1.81
H (0.9830, 0.4036, 0.6866)  1 Rh 1.69, 1 Cu 1.81
H (0.9830, 0.5794, 0.3134)  1 Rh 1.69, 1 Cu 1.81
Rh (0.6667, 0.3333, 0.5000)  6 H 1.69

Output
Calculated density: 4.920 g cm⁻³

KLuCd2 | PBE | relaxed

a b c (Å): 5.6783 5.6783 3.5228
angles (deg): 90.00 90.00 90.00
With the nearest neighbours (Å) after each atom.
Positions (direct):
K (0.0000, 0.0000, 0.0000)  8 Cd 3.34, 2 K 3.52
Lu (0.5000, 0.5000, 0.0000)  8 Cd 3.34, 2 Lu 3.52
Cd (0.0000, 0.5000, 0.5000)  4 K 3.34, 4 Lu 3.34, 2 Cd 3.52
Cd (0.5000, 0.0000, 0.5000)  4 K 3.34, 4 Lu 3.34, 2 Cd 3.52

Output
Calculated density: 6.416 g cm⁻³
Energy of formation: -0.0225 eV/atom

LaNi2Te | PBE | relaxed

a b c (Å): 4.1414 4.1929 5.1538
angles (deg): 90.00 90.00 90.00
With the nearest neighbours (Å) after each atom.
Positions (direct):
La (0.0000, 0.0000, 0.0000)  8 Ni 3.18, 4 Te 3.31
Ni (0.5000, 0.5000, 0.2299)  1 Ni 2.37, 2 Te 2.52
Ni (0.5000, 0.5000, 0.7701)  1 Ni 2.37, 2 Te 2.52
Te (0.5000, 0.0000, 0.5000)  4 Ni 2.52

Output
Formation energy without anion corrections: -0.50 eV per atom
Calculated density: 7.123 g cm⁻³

FeSeCl2 | PBE | relaxed

a b c (Å): 3.3754 3.3754 11.4274
angles (deg): 90.00 90.00 124.67
With the nearest neighbours (Å) after each atom.
Positions (direct):
Fe (0.0000, 0.0000, 0.0000)  4 Cl 2.32
Se (0.0000, 0.0000, 0.5000)  6 Se 3.13-3.38
Cl (0.5000, 0.5000, 0.1497)  2 Fe 2.32
Cl (0.5000, 0.5000, 0.8503)  2 Fe 2.32

Output
Formation energy without anion corrections: -0.02 eV per atom
Calculated density: 3.190 g cm⁻³

CaAg6Hg2 | PBE | relaxed

a b c (Å): 6.7300 6.7300 6.7300
angles (deg): 60.00 60.00 60.00
With the nearest neighbours (Å) after each atom.
Positions (direct):
Ca (0.0000, 0.0000, 0.0000)  6 Ag 2.78
Ag (0.2923, 0.2923, 0.7077)  1 Ca 2.78, 4 Ag 2.80
Ag (0.2923, 0.7077, 0.2923)  1 Ca 2.78, 4 Ag 2.80
Ag (0.2923, 0.7077, 0.7077)  1 Ca 2.78, 4 Ag 2.80
Ag (0.7077, 0.2923, 0.2923)  1 Ca 2.78, 4 Ag 2.80
Ag (0.7077, 0.2923, 0.7077)  1 Ca 2.78, 4 Ag 2.80
Ag (0.7077, 0.7077, 0.2923)  1 Ca 2.78, 4 Ag 2.80
Hg (0.2500, 0.2500, 0.2500)  12 Ag 3.39
Hg (0.7500, 0.7500, 0.7500)  12 Ag 3.39

Output
Calculated density: 8.386 g cm⁻³
Energy of formation: 0.3401 eV/atom

| no. | uncorrected energy (eV/atom) | magnetic moment (μB per formula unit) |
| --- | --- | --- |
| 1 | -7.5452 | 0.00 |
| 2 | -4.0139 | 0.00 |
| 3 | -1.8847 | 0.00 |
| 4 | -5.4077 | 0.00 |
| 5 | -3.9344 | 4.58 |
| 6 | -1.8502 | 0.00 |